Arrangement P

BMoP2S: relaxed, PBE.

Values from the calculation:
D(E_F) (states/eV per atom): 0.6568

The structure in CIF format:
```
data_BMoP2S
_cell_length_a 4.739
_cell_length_b 4.739
_cell_length_c 4.582
_cell_angle_alpha 90.00
_cell_angle_beta 90.00
_cell_angle_gamma 90.00
_space_group_name_H-M_alt 'P 4/m m m'
_space_group_IT_number 123
_space_group_name_Hall '-P 4 2'
loop_
_atom_site_label
_atom_site_type_symbol
_atom_site_fract_x
_atom_site_fract_y
_atom_site_fract_z
B1 B 0.000 0.000 0.000
Mo1 Mo 0.500 0.500 0.500
P1 P 0.000 0.500 0.500
S1 S 0.500 0.500 0.000
```

Arrangement Q

BMoP2S: relaxed, PBE.

Values from the calculation:
D(E_F) (states/eV per atom): 0.9271

The structure in CIF format:
```
data_BMoP2S
_cell_length_a 3.953
_cell_length_b 3.953
_cell_length_c 4.434
_cell_angle_alpha 90.00
_cell_angle_beta 90.00
_cell_angle_gamma 90.00
_space_group_name_H-M_alt 'P 4/m m m'
_space_group_IT_number 123
_space_group_name_Hall '-P 4 2'
loop_
_atom_site_label
_atom_site_type_symbol
_atom_site_fract_x
_atom_site_fract_y
_atom_site_fract_z
B1 B 0.000 0.000 0.000
Mo1 Mo 0.500 0.500 0.500
P1 P 0.000 0.500 0.000
S1 S 0.000 0.000 0.500
```

It is arrangement P that is the least stable of them.